one.
Here is MgRe2Pb after structural relaxation from the Alexandria database. Energies are from GGA-PBE.

The structure in extended XYZ format:
```
4
Lattice="-3.3666 -0.2046 0.8444 -0.8346 -0.1781 -3.3706 0.4230 -6.0688 0.2160" Properties=species:S:1:pos:R:3 pbc="T T T"
Mg -1.9949 -1.7086 -1.2091
Pb -1.7834 -4.7430 -1.1011
Re 0.0219 -0.3139 0.0112
Re 0.1896 -2.7205 0.0968
```

Values from the calculation:
size of the total moment = 0.00 Bohr magnetons per cell
DOS at the Fermi energy = 1.9 states/eV/cell

two.
Here is MgRe2Pb after structural relaxation from the Alexandria database. Energies are from GGA-PBE.

The structure in extended XYZ format:
```
4
Lattice="-7.1833 5.2783 5.4137 -8.9135 3.2279 4.3472 -7.4339 2.7470 6.7793" Properties=species:S:1:pos:R:3 pbc="T T T"
Mg -17.6480 8.4399 12.4051
Pb -5.8827 2.8133 4.1350
Re -0.1896 0.0907 0.1333
Re -11.5757 5.5359 8.1368
```

Values from the calculation:
size of the total moment = 0.00 Bohr magnetons per cell
DOS at the Fermi energy = 4.0 states/eV/cell

Relative energies with respect to the most stable structure, expressed in kJ/mol of atoms: one 0.0; two 5.2.

one.
Here is Mg3RePb after structural relaxation from the Alexandria database. Energies are from GGA-PBE.

The structure in extended XYZ format:
```
5
Lattice="5.0990 0.0000 0.0000 0.0000 5.0990 0.0000 0.0000 0.0000 5.0990" Properties=species:S:1:pos:R:3 pbc="T T T"
Pb 2.5495 2.5495 2.5495
Re 0.0000 0.0000 0.0000
Mg 0.0000 2.5495 0.0000
Mg 0.0000 0.0000 2.5495
Mg 2.5495 0.0000 0.0000
```

Values from the calculation:
size of the total moment = 0.00 Bohr magnetons per cell
DOS at the Fermi energy = 3.3 states/eV/cell

two.
Here is Mg3RePb after structural relaxation from the Alexandria database. Energies are from GGA-PBE.

The structure in extended XYZ format:
```
5
Lattice="-2.6902 -4.5341 -0.2264 4.5355 -2.6729 -0.3629 0.1972 -0.3796 5.2597" Properties=species:S:1:pos:R:3 pbc="T T T"
Pb 0.0000 0.0000 0.0000
Re 1.0212 -3.7933 2.3352
Mg 2.2677 -1.3365 -0.1814
Mg 0.0986 -0.1898 2.6298
Mg -1.3451 -2.2671 -0.1132
```

Values from the calculation:
size of the total moment = 3.24 Bohr magnetons per cell
DOS at the Fermi energy = 2.6 states/eV/cell

Relative energies with respect to the most stable structure, expressed in kJ/mol of atoms: one 0.0; two 60.4.

one.
Here is Mg2RhPb2 after structural relaxation from the Alexandria database. Energies are from GGA-PBE.

The structure in extended XYZ format:
```
5
Lattice="-1.8827 1.8827 8.4623 1.8827 -1.8827 8.4623 1.8827 1.8827 -8.4623" Properties=species:S:1:pos:R:3 pbc="T T T"
Mg 1.8827 0.0000 4.2312
Mg 0.0000 1.8827 4.2312
Rh 0.0000 0.0000 0.0000
Pb 0.0000 0.0000 10.0017
Pb 0.0000 0.0000 6.9230
```

Values from the calculation:
size of the total moment = 0.00 Bohr magnetons per cell
DOS at the Fermi energy = 3.2 states/eV/cell

two.
Here is Mg2RhPb2 after structural relaxation from the Alexandria database. Energies are from GGA-PBE.

The structure in extended XYZ format:
```
10
Lattice="-1.0172 6.0696 -3.0899 -5.8626 0.8098 3.5208 2.4686 2.2436 3.5945" Properties=species:S:1:pos:R:3 pbc="T T T"
Pb -2.8910 2.7206 3.6324
Pb -4.2960 5.8793 2.6258
Pb -1.5202 6.4024 0.3930
Pb -0.1152 3.2437 1.3996
Mg -5.2959 2.7694 1.9085
Mg -4.7058 5.6524 -0.2963
Mg -1.5839 4.1100 -1.4776
Mg -2.1740 1.2270 0.7271
Rh 0.0000 0.0000 0.0000
Rh -3.4399 3.4397 0.2154
```

Values from the calculation:
size of the total moment = 0.00 Bohr magnetons per cell
DOS at the Fermi energy = 6.7 states/eV/cell

three.
Here is Mg2RhPb2 after structural relaxation from the Alexandria database. Energies are from GGA-PBE.

The structure in extended XYZ format:
```
10
Lattice="7.1922 0.0000 0.0000 0.0000 7.1922 0.0000 0.0000 0.0000 4.4901" Properties=species:S:1:pos:R:3 pbc="T T T"
Pb 2.5065 6.1026 0.0000
Pb 6.1026 4.6857 0.0000
Pb 4.6857 1.0896 0.0000
Pb 1.0896 2.5065 0.0000
Mg 1.1649 4.7610 2.2450
Mg 4.7610 6.0272 2.2450
Mg 6.0272 2.4312 2.2450
Mg 2.4312 1.1649 2.2450
Rh 0.0000 0.0000 0.0000
Rh 3.5961 3.5961 0.0000
```

Values from the calculation:
size of the total moment = 0.00 Bohr magnetons per cell
DOS at the Fermi energy = 3.5 states/eV/cell

Relative energies with respect to the most stable structure, expressed in kJ/mol of atoms: one 25.5; two 0.7; three 0.0.